Entry from the Alexandria database: a geometry-optimized MoPPb2Cl structure (PBE).

- Calculated total energy: -4.471 eV per atom
- Uncorrected formation energy: 3.1 eV/f.u.

Lattice parameters (Å, degrees): 5.680 5.680 4.572 90.00 90.00 90.00
Fractional positions:
Mo  0.000  0.000  0.000
P  0.500  0.500  0.500
Pb  0.000  0.500  0.000
Pb  0.500  0.000  0.000
Cl  0.000  0.000  0.500